A plane-wave DFT calculation with PBE was carried out for crystalline LaPm2NdHo4 at its relaxed geometry.

* volume: 263.7 Å³/f.u.
* E: -4.6739 eV/atom
* energy relative to the elements: 15 meV per atom
* DOS at the Fermi energy: 1.29 states/eV/atom

Cell: 12.5018 7.2260 12.3960 Å, 90.00 109.61 90.00°
Space group C2/m (No. 12)
Inequivalent atoms, fractional coordinates:
1 La 0.2500 0.2500 0.0000 (multiplicity 4)
2 Pm 0.0000 0.0000 0.0000 (multiplicity 2)
3 Pm 0.0000 0.0000 0.5000 (multiplicity 2)
4 Pm 0.2500 0.2500 0.5000 (multiplicity 4)
5 Nd 0.0000 0.5000 0.0000 (multiplicity 2)
6 Nd 0.0000 0.5000 0.5000 (multiplicity 2)
7 Ho 0.0007 0.2498 0.2514 (multiplicity 8)
8 Ho 0.2495 0.0000 0.7481 (multiplicity 4)
9 Ho 0.2504 0.0000 0.2519 (multiplicity 4)

***

A plane-wave DFT calculation with PBE was carried out for crystalline Ce2NbGa at its relaxed geometry.

* volume: 86.4 Å³/f.u.
* E: -6.3662 eV/atom
* energy relative to the elements: -125 meV per atom
* DOS at the Fermi energy: 2.02 states/eV/atom
* distance to the lowest polymorph of the same formula: 0.000 eV per atom

Cell: 4.2730 4.2730 4.7320 Å, 90.00 90.00 90.00°
Space group P4/mmm (No. 123)
Inequivalent atoms, fractional coordinates:
1 Ce 0.0000 0.5000 0.0000 (multiplicity 2)
2 Nb 0.0000 0.0000 0.5000 (multiplicity 1)
3 Ga 0.5000 0.5000 0.5000 (multiplicity 1)

***

Please write out number 2 again, unchanged.
A plane-wave DFT calculation with PBE was carried out for crystalline Ce2NbGa at its relaxed geometry.

* volume: 86.4 Å³/f.u.
* E: -6.3662 eV/atom
* energy relative to the elements: -125 meV per atom
* DOS at the Fermi energy: 2.02 states/eV/atom
* distance to the lowest polymorph of the same formula: 0.000 eV per atom

Cell: 4.2730 4.2730 4.7320 Å, 90.00 90.00 90.00°
Space group P4/mmm (No. 123)
Inequivalent atoms, fractional coordinates:
1 Ce 0.0000 0.5000 0.0000 (multiplicity 2)
2 Nb 0.0000 0.0000 0.5000 (multiplicity 1)
3 Ga 0.5000 0.5000 0.5000 (multiplicity 1)